1.
Ho4NpBi5 | PBE-GGA | optimized geometry

```
data_Ho4NpBi5
_symmetry_space_group_name_H-M 'P 1'
_symmetry_Int_Tables_number 1
_cell_length_a 11.849
_cell_length_b 11.849
_cell_length_c 11.849
_cell_angle_alpha 158.26
_cell_angle_beta 149.03
_cell_angle_gamma 38.16
loop_
_symmetry_equiv_pos_as_xyz
'x,y,z'
loop_
_atom_site_label
_atom_site_type_symbol
_atom_site_fract_x
_atom_site_fract_y
_atom_site_fract_z
Ho1 Ho 0.101 0.101 0.000
Ho2 Ho 0.298 0.298 0.000
Ho3 Ho 0.702 0.702 0.000
Ho4 Ho 0.899 0.899 0.000
Np1 Np 0.500 0.500 0.000
Bi1 Bi 0.000 0.500 0.500
Bi2 Bi 0.200 0.700 0.500
Bi3 Bi 0.399 0.899 0.500
Bi4 Bi 0.601 0.101 0.500
Bi5 Bi 0.800 0.300 0.500
```

## Properties
Theoretical density: 10.182 g cm⁻³
Energy of formation: -6.39 eV/f.u.
DFT total energy: -5.7051 eV/atom
Fermi-level density of states: 1.1930 states/eV per atom
Symmetry: Immm (71)

---

2.
Ho2NpBi3 | PBE-GGA | optimized geometry

```
data_Ho2NpBi3
_symmetry_space_group_name_H-M 'P 1'
_symmetry_Int_Tables_number 1
_cell_length_a 14.852
_cell_length_b 14.162
_cell_length_c 7.762
_cell_angle_alpha 79.46
_cell_angle_beta 69.63
_cell_angle_gamma 30.92
loop_
_symmetry_equiv_pos_as_xyz
'x,y,z'
loop_
_atom_site_label
_atom_site_type_symbol
_atom_site_fract_x
_atom_site_fract_y
_atom_site_fract_z
Ho1 Ho 0.042 0.042 0.208
Ho2 Ho 0.125 0.125 0.625
Ho3 Ho 0.208 0.208 0.042
Ho4 Ho 0.375 0.375 0.875
Ho5 Ho 0.625 0.625 0.125
Ho6 Ho 0.792 0.792 0.958
Ho7 Ho 0.875 0.875 0.375
Ho8 Ho 0.958 0.958 0.792
Np1 Np 0.292 0.292 0.458
Np2 Np 0.458 0.458 0.292
Np3 Np 0.542 0.542 0.708
Np4 Np 0.708 0.708 0.542
Bi1 Bi 0.043 0.541 0.205
Bi2 Bi 0.122 0.628 0.628
Bi3 Bi 0.205 0.711 0.043
Bi4 Bi 0.289 0.795 0.459
Bi5 Bi 0.372 0.878 0.878
Bi6 Bi 0.459 0.957 0.289
Bi7 Bi 0.541 0.043 0.711
Bi8 Bi 0.628 0.122 0.122
Bi9 Bi 0.711 0.205 0.541
Bi10 Bi 0.795 0.289 0.957
Bi11 Bi 0.878 0.372 0.372
Bi12 Bi 0.957 0.459 0.795
```

## Properties
Theoretical density: 10.387 g cm⁻³
Energy of formation: -3.07 eV/f.u.
DFT total energy: -6.1347 eV/atom
Fermi-level density of states: 2.0387 states/eV per atom
Symmetry: Fddd (70)

---

3.
Ho3NpBi4 | PBE-GGA | optimized geometry

```
data_Ho3NpBi4
_symmetry_space_group_name_H-M 'P 1'
_symmetry_Int_Tables_number 1
_cell_length_a 8.972
_cell_length_b 12.649
_cell_length_c 4.475
_cell_angle_alpha 90.00
_cell_angle_beta 90.00
_cell_angle_gamma 90.00
loop_
_symmetry_equiv_pos_as_xyz
'x,y,z'
loop_
_atom_site_label
_atom_site_type_symbol
_atom_site_fract_x
_atom_site_fract_y
_atom_site_fract_z
Ho1 Ho 0.000 0.000 0.000
Ho2 Ho 0.250 0.250 0.500
Ho3 Ho 0.250 0.750 0.500
Ho4 Ho 0.500 0.500 0.000
Ho5 Ho 0.750 0.250 0.500
Ho6 Ho 0.750 0.750 0.500
Np1 Np 0.000 0.500 0.000
Np2 Np 0.500 0.000 0.000
Bi1 Bi 0.000 0.249 0.000
Bi2 Bi 0.000 0.751 0.000
Bi3 Bi 0.247 0.000 0.500
Bi4 Bi 0.253 0.500 0.500
Bi5 Bi 0.500 0.251 0.000
Bi6 Bi 0.500 0.749 0.000
Bi7 Bi 0.747 0.500 0.500
Bi8 Bi 0.753 0.000 0.500
```

## Properties
Theoretical density: 10.253 g cm⁻³
Energy of formation: -4.72 eV/f.u.
DFT total energy: -5.8645 eV/atom
Fermi-level density of states: 1.4321 states/eV per atom
Symmetry: Cmmm (65)

---

4.
HoNpBi | PBE-GGA | optimized geometry

```
data_HoNpBi
_symmetry_space_group_name_H-M 'P 1'
_symmetry_Int_Tables_number 1
_cell_length_a 10.378
_cell_length_b 3.637
_cell_length_c 8.815
_cell_angle_alpha 90.00
_cell_angle_beta 102.13
_cell_angle_gamma 90.00
loop_
_symmetry_equiv_pos_as_xyz
'x,y,z'
loop_
_atom_site_label
_atom_site_type_symbol
_atom_site_fract_x
_atom_site_fract_y
_atom_site_fract_z
Ho1 Ho 0.170 0.000 0.127
Ho2 Ho 0.330 0.500 0.873
Ho3 Ho 0.670 0.500 0.127
Ho4 Ho 0.830 0.000 0.873
Np1 Np 0.177 0.500 0.456
Np2 Np 0.323 0.000 0.544
Np3 Np 0.677 0.000 0.456
Np4 Np 0.823 0.500 0.544
Bi1 Bi 0.081 0.000 0.726
Bi2 Bi 0.419 0.500 0.274
Bi3 Bi 0.581 0.500 0.726
Bi4 Bi 0.919 0.000 0.274
```

## Properties
Theoretical density: 12.475 g cm⁻³
Energy of formation: -0.46 eV/f.u.
DFT total energy: -7.2850 eV/atom
Fermi-level density of states: 1.5994 states/eV per atom
Symmetry: C2/m (12)

---

5.
Ho5NpBi6 | PBE-GGA | optimized geometry

```
data_Ho5NpBi6
_symmetry_space_group_name_H-M 'P 1'
_symmetry_Int_Tables_number 1
_cell_length_a 7.748
_cell_length_b 7.748
_cell_length_c 7.748
_cell_angle_alpha 99.58
_cell_angle_beta 99.58
_cell_angle_gamma 120.00
loop_
_symmetry_equiv_pos_as_xyz
'x,y,z'
loop_
_atom_site_label
_atom_site_type_symbol
_atom_site_fract_x
_atom_site_fract_y
_atom_site_fract_z
Ho1 Ho 0.000 0.000 0.000
Ho2 Ho 0.167 0.833 0.500
Ho3 Ho 0.334 0.666 0.000
Ho4 Ho 0.666 0.334 0.000
Ho5 Ho 0.833 0.167 0.500
Np1 Np 0.500 0.500 0.500
Bi1 Bi 0.081 0.416 0.248
Bi2 Bi 0.248 0.248 0.750
Bi3 Bi 0.416 0.081 0.248
Bi4 Bi 0.584 0.919 0.752
Bi5 Bi 0.752 0.752 0.250
Bi6 Bi 0.919 0.584 0.752
```

## Properties
Theoretical density: 10.123 g cm⁻³
Energy of formation: -8.06 eV/f.u.
DFT total energy: -5.5978 eV/atom
Fermi-level density of states: 0.9284 states/eV per atom
Symmetry: C2/m (12)

---

6.
HoNpBi2O8 | PBE-GGA | optimized geometry

```
data_HoNpBi2O8
_symmetry_space_group_name_H-M 'P 1'
_symmetry_Int_Tables_number 1
_cell_length_a 5.282
_cell_length_b 5.282
_cell_length_c 7.024
_cell_angle_alpha 90.55
_cell_angle_beta 90.55
_cell_angle_gamma 89.76
loop_
_symmetry_equiv_pos_as_xyz
'x,y,z'
loop_
_atom_site_label
_atom_site_type_symbol
_atom_site_fract_x
_atom_site_fract_y
_atom_site_fract_z
Ho1 Ho 0.000 0.000 0.000
Np1 Np 0.000 0.000 0.500
Bi1 Bi 0.486 0.486 0.761
Bi2 Bi 0.514 0.514 0.239
O1 O 0.169 0.169 0.277
O2 O 0.186 0.186 0.744
O3 O 0.258 0.742 0.500
O4 O 0.306 0.694 0.000
O5 O 0.694 0.306 0.000
O6 O 0.742 0.258 0.500
O7 O 0.814 0.814 0.256
O8 O 0.831 0.831 0.723
```

## Properties
Theoretical density: 8.031 g cm⁻³
DFT total energy: -7.6280 eV/atom
Fermi-level density of states: 0.0485 states/eV per atom
Formation energy (no corrections): -2216 meV per atom
Symmetry: C2/m (12)

---

7.
Ho3Bi2O2 | PBE-GGA | optimized geometry

```
data_Ho3Bi2O2
_symmetry_space_group_name_H-M 'P 1'
_symmetry_Int_Tables_number 1
_cell_length_a 12.460
_cell_length_b 3.792
_cell_length_c 7.991
_cell_angle_alpha 90.00
_cell_angle_beta 121.99
_cell_angle_gamma 90.00
loop_
_symmetry_equiv_pos_as_xyz
'x,y,z'
loop_
_atom_site_label
_atom_site_type_symbol
_atom_site_fract_x
_atom_site_fract_y
_atom_site_fract_z
Ho1 Ho 0.000 0.000 0.000
Ho2 Ho 0.197 0.000 0.784
Ho3 Ho 0.303 0.500 0.216
Ho4 Ho 0.500 0.500 0.000
Ho5 Ho 0.697 0.500 0.784
Ho6 Ho 0.803 0.000 0.216
Bi1 Bi 0.078 0.500 0.364
Bi2 Bi 0.422 0.000 0.636
Bi3 Bi 0.578 0.000 0.364
Bi4 Bi 0.922 0.500 0.636
O1 O 0.202 0.000 0.072
O2 O 0.298 0.500 0.928
O3 O 0.702 0.500 0.072
O4 O 0.798 0.000 0.928
```

## Properties
Theoretical density: 9.798 g cm⁻³
DFT total energy: -6.5800 eV/atom
Fermi-level density of states: 0.1412 states/eV per atom
Formation energy (no corrections): -2093 meV per atom
Symmetry: C2/m (12)

---

8.
HoBiO | PBE-GGA | optimized geometry

```
data_HoBiO
_symmetry_space_group_name_H-M 'P 1'
_symmetry_Int_Tables_number 1
_cell_length_a 3.566
_cell_length_b 3.566
_cell_length_c 20.100
_cell_angle_alpha 90.00
_cell_angle_beta 90.00
_cell_angle_gamma 120.00
loop_
_symmetry_equiv_pos_as_xyz
'x,y,z'
loop_
_atom_site_label
_atom_site_type_symbol
_atom_site_fract_x
_atom_site_fract_y
_atom_site_fract_z
Ho1 Ho 0.000 0.000 0.000
Ho2 Ho 0.333 0.667 0.667
Ho3 Ho 0.667 0.333 0.333
Bi1 Bi 0.000 0.000 0.190
Bi2 Bi 0.333 0.667 0.856
Bi3 Bi 0.667 0.333 0.523
O1 O 0.000 0.000 0.364
O2 O 0.333 0.667 0.031
O3 O 0.667 0.333 0.697
```

## Properties
Theoretical density: 8.775 g cm⁻³
Energy above the lowest structure with this stoichiometry: 0.249 eV/atom
DFT total energy: -6.3479 eV/atom
Fermi-level density of states: 0.4500 states/eV per atom
Formation energy (no corrections): -1876 meV per atom
Symmetry: R3m (160)

---

9.
Ho2BiO | PBE-GGA | optimized geometry

```
data_Ho2BiO
_symmetry_space_group_name_H-M 'P 1'
_symmetry_Int_Tables_number 1
_cell_length_a 7.659
_cell_length_b 6.709
_cell_length_c 7.667
_cell_angle_alpha 90.00
_cell_angle_beta 101.12
_cell_angle_gamma 90.00
loop_
_symmetry_equiv_pos_as_xyz
'x,y,z'
loop_
_atom_site_label
_atom_site_type_symbol
_atom_site_fract_x
_atom_site_fract_y
_atom_site_fract_z
Ho1 Ho 0.063 0.112 0.308
Ho2 Ho 0.063 0.388 0.808
Ho3 Ho 0.309 0.670 0.532
Ho4 Ho 0.309 0.830 0.032
Ho5 Ho 0.691 0.170 0.968
Ho6 Ho 0.691 0.330 0.468
Ho7 Ho 0.937 0.612 0.192
Ho8 Ho 0.937 0.888 0.692
Bi1 Bi 0.334 0.131 0.670
Bi2 Bi 0.334 0.369 0.170
Bi3 Bi 0.666 0.631 0.830
Bi4 Bi 0.666 0.869 0.330
O1 O 0.176 0.686 0.771
O2 O 0.176 0.814 0.271
O3 O 0.824 0.186 0.729
O4 O 0.824 0.314 0.229
```

## Properties
Theoretical density: 9.532 g cm⁻³
Energy above the lowest structure with this stoichiometry: 0.000 eV/atom
DFT total energy: -6.2970 eV/atom
Fermi-level density of states: 0.5687 states/eV per atom
Formation energy (no corrections): -1798 meV per atom
Symmetry: P2_1/c (14)

---

10.
HoBiO3 | PBE-GGA | optimized geometry

```
data_HoBiO3
_symmetry_space_group_name_H-M 'P 1'
_symmetry_Int_Tables_number 1
_cell_length_a 6.119
_cell_length_b 6.119
_cell_length_c 6.119
_cell_angle_alpha 58.75
_cell_angle_beta 58.75
_cell_angle_gamma 58.75
loop_
_symmetry_equiv_pos_as_xyz
'x,y,z'
loop_
_atom_site_label
_atom_site_type_symbol
_atom_site_fract_x
_atom_site_fract_y
_atom_site_fract_z
Ho1 Ho 0.141 0.141 0.141
Ho2 Ho 0.859 0.859 0.859
Bi1 Bi 0.357 0.357 0.357
Bi2 Bi 0.643 0.643 0.643
O1 O 0.009 0.784 0.456
O2 O 0.216 0.544 0.991
O3 O 0.456 0.009 0.784
O4 O 0.544 0.991 0.216
O5 O 0.784 0.456 0.009
O6 O 0.991 0.216 0.544
```

## Properties
Theoretical density: 8.903 g cm⁻³
DFT total energy: -7.0384 eV/atom
Fermi-level density of states: 0.0000 states/eV per atom
Formation energy (no corrections): -2372 meV per atom
Symmetry: R-3 (148)

---

11.
HoBiO3 | PBE-GGA | optimized geometry

```
data_HoBiO3
_symmetry_space_group_name_H-M 'P 1'
_symmetry_Int_Tables_number 1
_cell_length_a 6.218
_cell_length_b 8.441
_cell_length_c 5.795
_cell_angle_alpha 90.00
_cell_angle_beta 90.00
_cell_angle_gamma 90.00
loop_
_symmetry_equiv_pos_as_xyz
'x,y,z'
loop_
_atom_site_label
_atom_site_type_symbol
_atom_site_fract_x
_atom_site_fract_y
_atom_site_fract_z
Ho1 Ho 0.000 0.000 0.000
Ho2 Ho 0.000 0.500 0.000
Ho3 Ho 0.500 0.000 0.500
Ho4 Ho 0.500 0.500 0.500
Bi1 Bi 0.034 0.250 0.489
Bi2 Bi 0.466 0.750 0.989
Bi3 Bi 0.534 0.250 0.011
Bi4 Bi 0.966 0.750 0.511
O1 O 0.053 0.750 0.142
O2 O 0.182 0.566 0.669
O3 O 0.182 0.934 0.669
O4 O 0.318 0.066 0.169
O5 O 0.318 0.434 0.169
O6 O 0.447 0.250 0.642
O7 O 0.553 0.750 0.358
O8 O 0.682 0.566 0.831
O9 O 0.682 0.934 0.831
O10 O 0.818 0.066 0.331
O11 O 0.818 0.434 0.331
O12 O 0.947 0.250 0.858
```

## Properties
Theoretical density: 9.213 g cm⁻³
DFT total energy: -7.0523 eV/atom
Fermi-level density of states: 0.0000 states/eV per atom
Formation energy (no corrections): -2386 meV per atom
Symmetry: Pnma (62)

---

12.
HoBiO3 | PBE-GGA | optimized geometry

```
data_HoBiO3
_symmetry_space_group_name_H-M 'P 1'
_symmetry_Int_Tables_number 1
_cell_length_a 6.143
_cell_length_b 6.143
_cell_length_c 6.143
_cell_angle_alpha 58.53
_cell_angle_beta 58.53
_cell_angle_gamma 58.53
loop_
_symmetry_equiv_pos_as_xyz
'x,y,z'
loop_
_atom_site_label
_atom_site_type_symbol
_atom_site_fract_x
_atom_site_fract_y
_atom_site_fract_z
Ho1 Ho 0.000 0.000 0.000
Ho2 Ho 0.500 0.500 0.500
Bi1 Bi 0.287 0.287 0.287
Bi2 Bi 0.787 0.787 0.787
O1 O 0.133 0.355 0.688
O2 O 0.188 0.855 0.633
O3 O 0.355 0.688 0.133
O4 O 0.633 0.188 0.855
O5 O 0.688 0.133 0.355
O6 O 0.855 0.633 0.188
```

## Properties
Theoretical density: 8.845 g cm⁻³
DFT total energy: -7.0562 eV/atom
Fermi-level density of states: 0.0000 states/eV per atom
Formation energy (no corrections): -2390 meV per atom
Symmetry: R3c (161)